Entry 1:
This record from Alexandria via LeMat-Bulk describes crystalline Ce6MgZn2 at its relaxed geometry. The functional is PBE.

Values from the calculation:
Its energy is -40.17 eV for the cell shown. The calculated formation energy comes out at -41 kJ/mol of formula units.

Structure (POSCAR):
```
Ce6MgZn2
1.0
-0.7112 -2.8307 0.0643
-0.9837 0.0427 -8.9967
8.0457 -1.9382 3.6633
Ce Zn Mg
6 2 1
Direct
0.5000 0.0000 0.3471 Ce
0.5000 0.3471 0.3471 Ce
0.5000 0.0000 0.6529 Ce
0.5000 0.6529 0.0000 Ce
0.5000 0.3471 0.0000 Ce
0.5000 0.6529 0.6529 Ce
0.0000 0.6667 0.3333 Zn
0.0000 0.3333 0.6667 Zn
0.0000 0.0000 0.0000 Mg
```

Entry 2:
This record from Alexandria via LeMat-Bulk describes crystalline Tl2SiSbC at its relaxed geometry. The functional is PBE.

Values from the calculation:
Its energy is -19.90 eV for the cell shown.

Structure (POSCAR):
```
Tl2SiSbC
1.0
6.1302 0.0000 0.0000
0.0000 3.3874 0.0000
0.0000 0.0000 6.1302
C Tl Sb Si
1 2 1 1
Direct
0.0000 0.5000 0.0000 C
0.5000 0.0000 0.0000 Tl
0.0000 0.0000 0.5000 Tl
0.5000 0.5000 0.5000 Sb
0.0000 0.0000 0.0000 Si
```

Entry 3:
This record from Alexandria via LeMat-Bulk describes crystalline CoSbMo2 at its relaxed geometry. The functional is PBE.

Values from the calculation:
Its energy is -31.57 eV for the cell shown.

Structure (POSCAR):
```
CoSbMo2
1.0
-2.5627 -0.4895 3.1004
2.2617 -0.8361 1.7374
3.0277 4.1918 3.1644
Mo Sb Co
2 1 1
Direct
0.0000 0.4770 0.5237 Mo
0.0000 0.0230 0.9763 Mo
0.5000 0.2500 0.2500 Sb
0.5000 0.7500 0.7500 Co
```

Entry 4:
This record from Alexandria via LeMat-Bulk describes crystalline TbDy7Sc3 at its relaxed geometry. The functional is PBE.

Values from the calculation:
Its energy is -108.29 eV for the cell shown. The calculated formation energy comes out at 164 kJ/mol of formula units.

Structure (POSCAR):
```
TbDy7Sc3
1.0
9.1717 -2.5731 -1.1882
-5.5749 7.7241 -1.1882
-1.4361 -2.0566 12.6675
Dy Sc Tb
14 6 2
Direct
0.0962 0.9143 0.2495 Dy
0.1235 0.4490 0.5367 Dy
0.9143 0.0962 0.2495 Dy
0.4490 0.1235 0.5367 Dy
0.4476 0.1222 0.0373 Dy
0.0857 0.9038 0.7505 Dy
0.9038 0.0857 0.7505 Dy
0.8765 0.5510 0.4633 Dy
0.1222 0.4476 0.0373 Dy
0.5078 0.5078 0.2508 Dy
0.5510 0.8765 0.4633 Dy
0.5524 0.8778 0.9627 Dy
0.4922 0.4922 0.7492 Dy
0.8778 0.5524 0.9627 Dy
0.9998 0.5031 0.2501 Sc
0.0000 0.0000 0.0000 Sc
0.0000 0.0000 0.5000 Sc
0.4969 0.0002 0.7499 Sc
0.5031 0.9998 0.2501 Sc
0.0002 0.4969 0.7499 Sc
0.5000 0.5000 0.5000 Tb
0.5000 0.5000 0.0000 Tb
```

Entry 5:
This record from Alexandria via LeMat-Bulk describes crystalline LaTlOs2 at its relaxed geometry. The functional is PBE.

Values from the calculation:
Its energy is -26.48 eV for the cell shown. The calculated formation energy comes out at 315 kJ/mol of formula units.

Structure (POSCAR):
```
LaTlOs2
1.0
3.3971 0.0000 0.0000
0.0000 5.2927 0.0000
0.0000 0.0000 4.5493
La Os Tl
1 2 1
Direct
0.0000 0.5000 0.5000 La
0.0000 0.0000 0.0000 Os
0.5000 0.5000 0.0000 Os
0.5000 0.0000 0.5000 Tl
```

Entry 6:
This record from Alexandria via LeMat-Bulk describes crystalline LiAc3Se5 at its relaxed geometry. The functional is PBE.

Values from the calculation:
Its energy is -96.88 eV for the cell shown.

Structure (POSCAR):
```
LiAc3Se5
1.0
-2.9754 5.9987 4.9782
-7.2403 -4.1013 0.6145
7.5772 -4.4541 2.9034
Se Ac Li
10 6 2
Direct
0.6939 0.1939 0.7100 Se
0.0000 0.0000 0.0000 Se
0.1939 0.0161 0.7100 Se
0.8061 0.9839 0.2900 Se
0.9839 0.4839 0.2900 Se
0.3061 0.8061 0.2900 Se
0.4839 0.3061 0.2900 Se
0.5000 0.5000 0.0000 Se
0.0161 0.5161 0.7100 Se
0.5161 0.6939 0.7100 Se
0.1553 0.3447 0.0000 Ac
0.8447 0.6553 0.0000 Ac
0.6553 0.1553 0.0000 Ac
0.2500 0.2500 0.5000 Ac
0.7500 0.7500 0.5000 Ac
0.3447 0.8447 0.0000 Ac
0.2500 0.7500 0.5000 Li
0.7500 0.2500 0.5000 Li
```

Entry 7:
This record from Alexandria via LeMat-Bulk describes crystalline Li4InPd at its relaxed geometry. The functional is PBE.

Values from the calculation:
Its energy is -35.28 eV for the cell shown. The calculated formation energy comes out at -198 kJ/mol of formula units.

Structure (POSCAR):
```
Li4InPd
1.0
4.5066 -0.0019 0.0004
0.0008 5.1942 1.8730
-0.0012 -0.0491 8.1970
Pd Li In
2 8 2
Direct
0.2500 0.8744 0.7511 Pd
0.7500 0.1256 0.2489 Pd
0.7498 0.1916 0.5824 Li
0.7500 0.5467 0.9166 Li
0.7502 0.7268 0.5827 Li
0.2502 0.8084 0.4176 Li
0.7500 0.0363 0.9167 Li
0.2500 0.4533 0.0834 Li
0.2500 0.9637 0.0833 Li
0.2498 0.2732 0.4173 Li
0.2500 0.3779 0.7447 In
0.7500 0.6221 0.2553 In
```

Entry 8:
This record from Alexandria via LeMat-Bulk describes crystalline YCuOs at its relaxed geometry. The functional is PBE.

Values from the calculation:
Its energy is -20.52 eV for the cell shown. The calculated formation energy comes out at 123 kJ/mol of formula units.

Structure (POSCAR):
```
YCuOs
1.0
-1.3652 -3.6077 2.0481
2.8936 -3.0062 1.2899
0.8341 -0.5451 4.2522
Cu Os Y
1 1 1
Direct
0.7500 0.7500 0.7500 Cu
0.0000 0.0000 0.0000 Os
0.5000 0.5000 0.5000 Y
```

Entry 9:
This record from Alexandria via LeMat-Bulk describes crystalline BaLa3Ir at its relaxed geometry. The functional is PBE.

Values from the calculation:
Its energy is -54.02 eV for the cell shown. The calculated formation energy comes out at -140 kJ/mol of formula units.

Structure (POSCAR):
```
BaLa3Ir
1.0
-2.4629 2.2586 2.2301
-2.0744 -10.8421 5.0695
5.7153 1.0456 5.2538
Ir La Ba
2 6 2
Direct
0.2275 0.5981 0.9455 Ir
0.5798 0.3030 0.2594 Ir
0.0146 0.1725 0.1100 La
0.1602 0.4638 0.3259 La
0.7732 0.6877 0.6727 La
0.3856 0.9127 0.8724 La
0.7843 0.7120 0.1260 La
0.6397 0.4231 0.9121 La
0.0231 0.1878 0.6002 Ba
0.3948 0.9325 0.3794 Ba
```

Entry 10:
This record from Alexandria via LeMat-Bulk describes crystalline CaMnP at its relaxed geometry. The functional is PBE.

Values from the calculation:
Its energy is -15.31 eV for the cell shown. The calculated formation energy comes out at 122 kJ/mol of formula units.

Structure (POSCAR):
```
CaMnP
1.0
4.6759 0.0000 0.0000
2.3379 4.0494 0.0000
2.3379 1.3498 3.8178
Mn P Ca
1 1 1
Direct
0.0000 0.0000 0.0000 Mn
0.5000 0.5000 0.5000 P
0.7500 0.7500 0.7500 Ca
```

Entry 11:
This record from Alexandria via LeMat-Bulk describes crystalline Tl2NiBr at its relaxed geometry. The functional is PBE.

Values from the calculation:
Its energy is -11.92 eV for the cell shown.

Structure (POSCAR):
```
Tl2NiBr
1.0
-5.1981 0.2144 -3.0569
-3.7459 -4.2248 2.1285
3.0134 5.0791 1.2385
Ni Tl Br
1 2 1
Direct
0.2621 0.7621 0.5000 Ni
0.0564 0.0564 0.0000 Tl
0.7571 0.2571 0.5000 Tl
0.4243 0.4243 0.0000 Br
```

> Which value of energy does entry 5 give?

-26.48 eV for the cell shown

> energy of number 2 (Tl2SiSbC)?

-19.90 eV for the cell shown

> Look up the energy of the third one.

-31.57 eV for the cell shown

> What is the energy in the seventh record?

-35.28 eV for the cell shown